Entry 1:
Tc3Au SCAN single point on PBEsol structure; total magnetization = 0.0 μB per cell; calculated density = 13.9 g/cm3; DFT formation energy = 0.165 eV per atom; SG = P4/mmm, No. 123; VASP energy = -173.7 eV per cell
1.0
2.7210 0.0000 0.0000
0.0000 2.7210 0.0000
0.0000 0.0000 7.9188
Tc Au
3 1
Direct
0.0000 0.0000 0.0000
0.5000 0.5000 0.2315
0.5000 0.5000 0.7685
0.0000 0.0000 0.5000

=====

Entry 2:
TcTe2Au SCAN single point on PBEsol structure; total magnetization = 0.0 μB per cell; relative energy among the computed polymorphs = 190.1 meV per atom; calculated density = 9.6 g/cm3; SG = Cm, No. 8; formation energy without anion corrections = 0.1920 eV per atom; VASP energy = -355.9 eV per cell
1.0
9.8114 0.0000 0.0000
0.0000 3.2058 0.0000
-1.7136 0.0000 6.0430
Tc Te Au
2 4 2
Direct
0.0000 0.0000 0.0000
0.5000 0.5000 0.0000
0.1457 0.5000 0.3148
0.4490 0.0000 0.6599
0.6457 0.0000 0.3148
0.9490 0.5000 0.6599
0.2855 0.0000 0.0405
0.7855 0.5000 0.0405

=====

What did the second record say?
TcTe2Au SCAN single point on PBEsol structure; total magnetization = 0.0 μB per cell; relative energy among the computed polymorphs = 190.1 meV per atom; calculated density = 9.6 g/cm3; SG = Cm, No. 8; formation energy without anion corrections = 0.1920 eV per atom; VASP energy = -355.9 eV per cell
1.0
9.8114 0.0000 0.0000
0.0000 3.2058 0.0000
-1.7136 0.0000 6.0430
Tc Te Au
2 4 2
Direct
0.0000 0.0000 0.0000
0.5000 0.5000 0.0000
0.1457 0.5000 0.3148
0.4490 0.0000 0.6599
0.6457 0.0000 0.3148
0.9490 0.5000 0.6599
0.2855 0.0000 0.0405
0.7855 0.5000 0.0405

=====

Question: Which value of VASP energy does entry 1 give?
Answer: -173.7 eV per cell

=====

Question: total magnetization of number 2 (TcTe2Au)?
Answer: 0.0 μB per cell

=====

Question: Which value of calculated density does entry 1 give?
Answer: 13.9 g/cm3